DFT (PBE) results for a geometry-optimized LiWBr structure.

## Properties
The raw formation energy comes out at 0.495 eV/atom. The value obtained for the total energy is -5.018 eV per atom. The density of states at the Fermi level is 2.753 states/eV per cell. The total moment comes out at 0.0 μB/f.u.

Cell: 3.0620 3.0620 6.4889 Å, 90.00 90.00 120.00°
Last column: nearest neighbours and their distance in Å.
Space group P3m1 (No. 156)
Inequivalent atoms, fractional coordinates:
Li 0.0000 0.0000 0.0000 (multiplicity 1)  3 Br 2.85, 3 W 2.87, 6 Li 3.06
W 0.6667 0.3333 0.3480 (multiplicity 1)  3 Br 2.67, 3 Li 2.87
Br 0.3333 0.6667 0.6560 (multiplicity 1)  3 W 2.67, 3 Li 2.85